# 1
Material: SrCa7Ti2Mn6O24
Method: DFT, PBEsol
State: optimized geometry

Cell: 7.5185 7.4490 7.5185 Å, 90.00 89.33 90.00°
Atoms (fractional coordinates):
O1 0.4612 0.5000 0.4612
O2 0.0021 0.2952 0.2562
O3 0.4551 0.0000 0.9646
O4 0.0021 0.7048 0.2562
O5 0.2499 0.7907 0.4982
O6 0.5449 0.5000 0.0362
O7 0.5004 0.7089 0.7489
O8 0.7456 0.2119 0.0069
O9 0.7489 0.2911 0.5004
O10 0.0362 0.5000 0.5449
O11 0.0069 0.2119 0.7456
O12 0.2562 0.7048 0.0021
O13 0.5270 0.0000 0.5270
O14 0.9646 0.0000 0.4551
O15 0.0388 0.0000 0.0388
O16 0.7489 0.7089 0.5004
O17 0.4982 0.2093 0.2499
O18 0.2562 0.2952 0.0021
O19 0.4982 0.7907 0.2499
O20 0.9613 0.5000 0.9613
O21 0.5004 0.2911 0.7489
O22 0.2499 0.2093 0.4982
O23 0.7456 0.7881 0.0069
O24 0.0069 0.7881 0.7456
Ca1 0.2481 0.5000 0.2481
Ca2 0.7527 0.5000 0.2577
Ca3 0.2577 0.5000 0.7527
Ca4 0.7441 0.5000 0.7441
Ca5 0.2562 0.0000 0.2562
Ca6 0.2499 0.0000 0.7391
Ca7 0.7391 0.0000 0.2499
Mn1 0.4981 0.2518 0.4981
Mn2 0.4993 0.7486 0.0014
Mn3 0.4981 0.7482 0.4981
Mn4 0.4993 0.2514 0.0014
Mn5 0.0014 0.2514 0.4993
Mn6 0.0014 0.7486 0.4993
Sr1 0.7479 0.0000 0.7479
Ti1 0.0007 0.2506 0.0007
Ti2 0.0007 0.7494 0.0007

Summary:
symmetry: Amm2 (38)
total magnetic moment: 18.000 μB/f.u.
DOS(E_F): 0.0 states/eV/cell
formation energy from raw total energies: -2.5218 eV/atom

# 2
Material: LiScAu2
Method: DFT, PBEsol
State: optimized geometry

Cell: 4.5777 4.5811 4.5811 Å, 59.95 60.02 60.02°
Atoms (fractional coordinates):
Li1 0.5000 0.0000 0.0000
Au1 0.7500 0.2500 0.2500
Au2 0.2500 0.7500 0.7500
Sc1 0.0000 0.5000 0.5000

Summary:
formation energy from the elements: -0.685 eV/atom
symmetry: Fm-3m (225)
total magnetic moment: 0.000 μB/f.u.
DOS(E_F): 2.6 states/eV/cell
distance to the lowest polymorph of the same formula: 0.0 meV per atom

# 3
Material: Li9Ti5Si2O16
Method: DFT, PBEsol
State: optimized geometry

Cell: 4.9348 5.1303 11.0445 Å, 80.33 85.80 80.36°
Atoms (fractional coordinates):
O1 0.8731 0.7723 0.9663
O2 0.8820 0.5520 0.2399
O3 0.6211 0.0938 0.1606
O4 0.6648 0.8204 0.4007
O5 0.3789 0.9062 0.8394
O6 0.3781 0.6620 0.0977
O7 0.6219 0.3380 0.9023
O8 0.1180 0.4480 0.7601
O9 0.6627 0.5522 0.6544
O10 0.3352 0.1796 0.5993
O11 0.1269 0.2277 0.0337
O12 0.1020 0.6772 0.5282
O13 0.3373 0.4478 0.3456
O14 0.8980 0.3228 0.4718
O15 0.1188 0.9259 0.2955
O16 0.8812 0.0741 0.7045
Si1 0.9981 0.3773 0.6172
Si2 0.0019 0.6227 0.3828
Li1 0.2531 0.5614 0.9400
Li2 0.2454 0.8119 0.6768
Li3 0.7501 0.6707 0.8102
Li4 0.7469 0.4386 0.0600
Li5 0.2499 0.3293 0.1898
Li6 0.7546 0.1881 0.3232
Li7 0.2570 0.0801 0.4395
Li8 0.5000 0.5000 0.5000
Li9 0.7430 0.9199 0.5605
Ti1 0.9976 0.8873 0.1179
Ti2 0.5000 0.0000 0.0000
Ti3 0.0024 0.1127 0.8821
Ti4 0.4996 0.2434 0.7486
Ti5 0.5004 0.7566 0.2514

Summary:
symmetry: P-1 (2)
total magnetic moment: 0.000 μB/f.u.
DOS(E_F): 2.6 states/eV/cell
formation energy from raw total energies: -2.5926 eV/atom

# 4
Material: LiTeNO2
Method: DFT, PBEsol
State: optimized geometry

Cell: 3.8524 3.9430 3.9430 Å, 90.00 90.00 90.00°
Atoms (fractional coordinates):
O1 0.0000 0.0000 0.5000
O2 0.0000 0.5000 0.0000
Li1 0.5000 0.5000 0.5000
N1 0.5000 0.0000 0.0000
Te1 0.0000 0.0000 0.0000

Summary:
symmetry: P4/mmm (123)
total magnetic moment: 0.000 μB/f.u.
DOS(E_F): 1.3 states/eV/cell
formation energy from raw total energies: -0.3600 eV/atom

# 5
Material: EuIn
Method: DFT, PBEsol
State: optimized geometry

Cell: 3.8578 3.8578 3.8578 Å, 90.00 90.00 90.00°
Atoms (fractional coordinates):
In1 0.0000 0.0000 0.0000
Eu1 0.5000 0.5000 0.5000

Summary:
formation energy from the elements: -0.509 eV/atom
symmetry: Pm-3m (221)
total magnetic moment: 7.060 μB/f.u.
DOS(E_F): 8.1 states/eV/cell

# 6
Material: La2TlAg
Method: DFT, PBEsol
State: optimized geometry

Cell: 3.7315 5.1485 5.6149 Å, 90.00 90.00 90.00°
Atoms (fractional coordinates):
La1 0.0000 0.0000 0.0649
La2 0.0000 0.5000 0.6859
Tl1 0.5000 0.0000 0.5437
Ag1 0.5000 0.5000 0.2054

Summary:
formation energy from the elements: -0.333 eV/atom
symmetry: Pmm2 (25)
total magnetic moment: 0.001 μB/f.u.
DOS(E_F): 3.5 states/eV/cell
distance to the lowest polymorph of the same formula: 6.1 meV per atom

Repeat the second record exactly.
Material: LiScAu2
Method: DFT, PBEsol
State: optimized geometry

Cell: 4.5777 4.5811 4.5811 Å, 59.95 60.02 60.02°
Atoms (fractional coordinates):
Li1 0.5000 0.0000 0.0000
Au1 0.7500 0.2500 0.2500
Au2 0.2500 0.7500 0.7500
Sc1 0.0000 0.5000 0.5000

Summary:
formation energy from the elements: -0.685 eV/atom
symmetry: Fm-3m (225)
total magnetic moment: 0.000 μB/f.u.
DOS(E_F): 2.6 states/eV/cell
distance to the lowest polymorph of the same formula: 0.0 meV per atom

The lowest DOS(E_F) belongs to which entry? SrCa7Ti2Mn6O24

What is the DOS(E_F) in the third record? 2.6 states/eV/cell